Computed, not measured: a relaxed structure of Sr2CaRe at the PBE level of DFT.

Cell and atoms, written as extended XYZ:
```
4
Lattice="1.838 1.061 11.710 -1.838 1.061 11.710 0.000 -2.123 11.710" Properties=species:S:1:pos:R:3 pbc="T T T"
Sr 0.000 0.000 8.093
Sr 0.000 0.000 27.037
Ca 0.000 0.000 0.000
Re 0.000 0.000 17.565
```

Properties
Energy of formation from the pure elements: 362 kJ/mol of formula units
Symmetry: No. 166


Computed, not measured: a relaxed structure of PmSc5 at the PBE level of DFT.

Cell and atoms, written as extended XYZ:
```
6
Lattice="2.870 -4.968 0.000 2.870 4.968 0.000 -1.912 0.000 5.430" Properties=species:S:1:pos:R:3 pbc="T T T"
Pm 0.000 0.000 0.000
Sc 1.914 3.290 2.715
Sc 2.870 1.662 0.000
Sc 1.914 0.000 2.715
Sc 2.870 -1.662 0.000
Sc 1.914 -3.290 2.715
```

Properties
Energy of formation from the pure elements: 32 kJ/mol of formula units
Symmetry: No. 12


Computed, not measured: a relaxed structure of LaCe5Sn4 at the PBE level of DFT.

Cell and atoms, written as extended XYZ:
```
20
Lattice="9.803 0.000 0.000 0.000 12.116 0.000 0.000 0.000 5.309" Properties=species:S:1:pos:R:3 pbc="T T T"
La 2.451 3.029 0.426
La 7.352 9.087 4.883
Ce 0.710 6.142 3.790
Ce 0.710 12.032 3.790
Ce 2.451 9.087 0.128
Ce 4.192 6.142 3.790
Ce 4.192 12.032 3.790
Ce 5.611 0.084 1.519
Ce 5.611 5.974 1.519
Ce 7.352 3.029 5.181
Ce 9.093 0.084 1.519
Ce 9.093 5.974 1.519
Sn 0.014 3.029 2.865
Sn 2.451 6.127 1.172
Sn 2.451 12.047 1.172
Sn 4.887 3.029 2.865
Sn 4.916 9.087 2.444
Sn 7.352 0.069 4.137
Sn 7.352 5.989 4.137
Sn 9.788 9.087 2.444
```

Properties
Energy of formation from the pure elements: -361 kJ/mol of formula units
Symmetry: No. 59


Computed, not measured: a relaxed structure of Nd5Y12Ho at the PBE level of DFT.

Cell and atoms, written as extended XYZ:
```
18
Lattice="10.792 0.000 0.000 0.000 5.093 0.000 -0.017 0.000 10.802" Properties=species:S:1:pos:R:3 pbc="T T T"
Nd 0.000 0.000 0.000
Nd 1.789 2.547 8.997
Nd 3.601 0.000 7.185
Nd 7.173 0.000 3.617
Nd 8.985 2.547 1.805
Y 0.001 0.000 3.617
Y 1.798 2.547 5.390
Y 1.805 2.547 1.810
Y 3.592 0.000 3.602
Y 3.614 0.000 0.006
Y 5.381 2.547 1.809
Y 5.393 2.547 8.993
Y 7.161 0.000 10.796
Y 7.182 0.000 7.200
Y 8.969 2.547 8.993
Y 8.977 2.547 5.412
Y 10.773 0.000 7.185
Ho 5.387 2.547 5.401
```

Properties
Energy of formation from the pure elements: 37 kJ/mol of formula units
Symmetry: No. 10


Computed, not measured: a relaxed structure of Cu2SiOs at the PBE level of DFT.

Cell and atoms, written as extended XYZ:
```
4
Lattice="2.479 -3.936 0.000 2.479 3.936 0.000 0.000 0.000 2.672" Properties=species:S:1:pos:R:3 pbc="T T T"
Cu 1.239 1.968 0.000
Cu 1.239 -1.968 0.000
Si 0.000 0.000 1.336
Os 2.479 0.000 1.336
```

Properties
Symmetry: No. 65
Raw formation energy: 179.3 meV per atom


Computed, not measured: a relaxed structure of Ni2AgRh at the PBE level of DFT.

Cell and atoms, written as extended XYZ:
```
4
Lattice="-1.932 1.932 3.631 1.932 -1.932 3.631 1.932 1.932 -3.631" Properties=species:S:1:pos:R:3 pbc="T T T"
Ni 1.932 0.000 1.815
Ni 0.000 1.932 1.815
Ag 0.000 0.000 0.000
Rh 0.000 0.000 3.631
```

Properties
Energy of formation from the pure elements: 91 kJ/mol of formula units
Symmetry: No. 139


Computed, not measured: a relaxed structure of Tl2Pb2W at the PBE level of DFT.

Cell and atoms, written as extended XYZ:
```
10
Lattice="7.453 0.000 0.000 0.000 7.453 0.000 0.000 0.000 5.136" Properties=species:S:1:pos:R:3 pbc="T T T"
Tl 1.115 2.611 0.000
Tl 2.611 6.337 0.000
Tl 4.842 1.115 0.000
Tl 6.337 4.842 0.000
Pb 1.256 4.983 2.568
Pb 2.470 1.256 2.568
Pb 4.983 6.196 2.568
Pb 6.196 2.470 2.568
W 0.000 0.000 0.000
W 3.726 3.726 0.000
```

Properties
Energy of formation from the pure elements: 461 kJ/mol of formula units
Symmetry: No. 127


Computed, not measured: a relaxed structure of Dy4HoRh2 at the PBE level of DFT.

Cell and atoms, written as extended XYZ:
```
14
Lattice="7.831 0.000 0.000 0.000 6.357 0.000 -3.030 0.000 7.234" Properties=species:S:1:pos:R:3 pbc="T T T"
Dy -1.021 1.589 2.768
Dy 0.918 4.767 2.424
Dy 0.910 0.018 5.521
Dy 0.910 3.161 5.521
Dy 3.892 3.196 1.714
Dy 3.892 6.339 1.714
Dy 3.884 1.589 4.810
Dy 5.823 4.767 4.466
Ho 1.157 1.589 0.204
Ho 3.645 4.767 7.030
Rh -1.035 4.767 7.156
Rh 1.686 1.589 2.968
Rh 3.116 4.767 4.266
Rh 5.836 1.589 0.078
```

Properties
Energy of formation from the pure elements: -324 kJ/mol of formula units
Symmetry: No. 11